BeTl3O: optimized geometry, GGA-PBE.

Values from the calculation:
Total energy = -2.780 eV/atom
Formation energy (no corrections) = 0.376 eV per atom
Mass density = 8.2 g/cm³

a = 5.047 Å, b = 5.047 Å, c = 5.047 Å
α = 90.00°, β = 90.00°, γ = 90.00°
Element x y z (fractional)
Tl 0.000 0.000 0.500
Be 0.500 0.500 0.500
Tl 0.000 0.500 0.000
Tl 0.500 0.000 0.000
O 0.000 0.000 0.000